[1]
This record from the Alexandria database describes a relaxed CsK2Np3S8 crystal. The functional is PBE.

a = 8.211 Å, b = 8.212 Å, c = 9.135 Å
α = 63.29°, β = 63.29°, γ = 60.00°
Site moments in Bohr magnetons follow the coordinates.
Positions (direct):
Cs  0.864  0.864  0.409  -0.01
K  0.129  0.129  0.613  0.00
K  0.500  0.500  0.501  0.00
Np  0.500  0.001  0.000  3.07
Np  0.001  0.500  0.000  3.07
Np  0.500  0.500  0.000  3.07
S  0.272  0.272  0.183  -0.11
S  0.724  0.724  0.829  -0.11
S  0.245  0.245  0.820  -0.13
S  0.690  0.245  0.820  -0.13
S  0.245  0.690  0.820  -0.13
S  0.753  0.318  0.176  -0.14
S  0.318  0.753  0.176  -0.14
S  0.753  0.753  0.176  -0.14

Output
* SG: R3m (160)
* mass density: 4.29 g cm⁻³
* ΔE_f (raw): -17.715 eV per formula unit

[2]
This record from the Alexandria database describes a relaxed Cs3K2NpSe6 crystal. The functional is PBE.

a = 8.137 Å, b = 8.137 Å, c = 8.471 Å
α = 99.26°, β = 99.26°, γ = 119.52°
Site moments in Bohr magnetons follow the coordinates.
Positions (direct):
Cs  0.178  0.822  0.500  0.01
Cs  0.822  0.178  0.500  0.01
Cs  0.500  0.500  0.500  0.01
K  0.335  0.665  0.000  0.00
K  0.665  0.335  0.000  0.00
Np  0.000  0.000  0.000  -1.44
Se  0.937  0.664  0.809  0.15
Se  0.799  0.799  0.196  0.15
Se  0.063  0.336  0.191  0.15
Se  0.664  0.937  0.809  0.15
Se  0.201  0.201  0.804  0.15
Se  0.336  0.063  0.191  0.15

Output
* SG: C2/m (12)
* mass density: 4.26 g cm⁻³
* ΔE_f (raw): -12.732 eV per formula unit

[3]
This record from the Alexandria database describes a relaxed CsK2Np3Se8 crystal. The functional is PBE.

a = 8.564 Å, b = 8.564 Å, c = 9.554 Å
α = 63.37°, β = 63.37°, γ = 60.00°
Site moments in Bohr magnetons follow the coordinates.
Positions (direct):
Cs  0.863  0.863  0.412  -0.01
K  0.131  0.131  0.606  0.00
K  0.500  0.500  0.501  0.00
Np  0.499  0.002  0.000  3.21
Np  0.002  0.499  0.000  3.21
Np  0.499  0.499  0.000  3.21
Se  0.271  0.271  0.188  -0.12
Se  0.725  0.725  0.825  -0.13
Se  0.244  0.244  0.816  -0.15
Se  0.695  0.244  0.816  -0.15
Se  0.244  0.695  0.816  -0.15
Se  0.753  0.314  0.180  -0.17
Se  0.314  0.753  0.180  -0.17
Se  0.753  0.753  0.180  -0.17

Output
* SG: R3m (160)
* mass density: 4.97 g cm⁻³
* ΔE_f (raw): -15.544 eV per formula unit

[4]
This record from the Alexandria database describes a relaxed CsK3Np2Te6 crystal. The functional is PBE.

a = 4.642 Å, b = 10.187 Å, c = 10.873 Å
α = 103.38°, β = 102.33°, γ = 90.00°
Site moments in Bohr magnetons follow the coordinates.
Positions (direct):
Cs  0.500  0.000  0.000  -0.01
K  0.500  0.500  0.000  -0.01
K  0.845  0.164  0.690  0.00
K  0.155  0.836  0.310  0.00
Np  0.827  0.657  0.655  3.60
Np  0.173  0.343  0.345  3.60
Te  0.321  0.856  0.641  -0.12
Te  0.677  0.554  0.354  -0.14
Te  0.679  0.144  0.359  -0.12
Te  0.031  0.284  0.061  -0.15
Te  0.969  0.716  0.939  -0.15
Te  0.323  0.446  0.646  -0.14

Output
* SG: C2/m (12)
* mass density: 5.07 g cm⁻³
* ΔE_f (raw): -10.394 eV per formula unit

[5]
This record from the Alexandria database describes a relaxed Cs3KNp2Te6 crystal. The functional is PBE.

a = 8.190 Å, b = 8.190 Å, c = 9.278 Å
α = 98.49°, β = 98.49°, γ = 119.92°
Site moments in Bohr magnetons follow the coordinates.
Positions (direct):
Cs  0.153  0.847  0.500  -0.01
Cs  0.847  0.153  0.500  -0.01
Cs  0.500  0.500  0.500  -0.01
K  0.000  0.000  0.000  0.00
Np  0.332  0.668  0.000  3.58
Np  0.668  0.332  0.000  3.58
Te  0.934  0.561  0.806  -0.13
Te  0.691  0.691  0.188  -0.13
Te  0.066  0.439  0.194  -0.13
Te  0.561  0.934  0.806  -0.13
Te  0.309  0.309  0.812  -0.13
Te  0.439  0.066  0.194  -0.13

Output
* SG: C2/m (12)
* mass density: 5.40 g cm⁻³
* ΔE_f (raw): -10.941 eV per formula unit

[6]
This record from the Alexandria database describes a relaxed Cs8K3O2 crystal. The functional is PBE.

a = 9.885 Å, b = 9.885 Å, c = 14.092 Å
α = 69.47°, β = 69.47°, γ = 60.00°
Positions (direct):
Cs  0.336  0.336  0.993
Cs  0.664  0.664  0.007
Cs  0.282  0.721  0.714
Cs  0.721  0.282  0.714
Cs  0.282  0.282  0.714
Cs  0.279  0.718  0.286
Cs  0.718  0.279  0.286
Cs  0.718  0.718  0.286
K  0.000  0.000  0.000
K  0.196  0.196  0.411
K  0.804  0.804  0.589
O  0.405  0.405  0.786
O  0.595  0.595  0.214

Output
* SG: R-3m (166)
* mass density: 1.85 g cm⁻³
* ΔE_f (raw): -6.162 eV per formula unit

[7]
This record from the Alexandria database describes a relaxed CsK3O crystal. The functional is PBE.

a = 7.716 Å, b = 8.641 Å, c = 15.155 Å
α = 90.00°, β = 90.00°, γ = 90.00°
Positions (direct):
Cs  0.806  0.250  0.411
Cs  0.694  0.750  0.911
Cs  0.194  0.750  0.589
Cs  0.306  0.250  0.089
K  0.277  0.006  0.871
K  0.223  0.506  0.371
K  0.223  0.994  0.371
K  0.723  0.506  0.129
K  0.723  0.994  0.129
K  0.777  0.494  0.629
K  0.777  0.006  0.629
K  0.277  0.494  0.871
K  0.669  0.250  0.927
K  0.831  0.750  0.427
K  0.331  0.750  0.073
K  0.169  0.250  0.573
O  0.000  0.000  0.500
O  0.500  0.500  0.000
O  0.500  0.000  0.000
O  0.000  0.500  0.500

Output
* SG: Pnma (62)
* mass density: 1.75 g cm⁻³
* distance to the lowest polymorph of the same formula: 0 meV/atom
* ΔE_f (raw): -3.022 eV per formula unit

[8]
This record from the Alexandria database describes a relaxed Cs3K9O2 crystal. The functional is PBE.

a = 12.290 Å, b = 12.290 Å, c = 12.290 Å
α = 88.74°, β = 88.74°, γ = 88.74°
Positions (direct):
Cs  0.404  0.750  0.096
Cs  0.250  0.904  0.596
Cs  0.904  0.596  0.250
Cs  0.096  0.404  0.750
Cs  0.750  0.096  0.404
Cs  0.596  0.250  0.904
K  0.772  0.906  0.026
K  0.094  0.974  0.228
K  0.250  0.364  0.136
K  0.594  0.728  0.474
K  0.636  0.864  0.750
K  0.864  0.750  0.636
K  0.272  0.526  0.406
K  0.526  0.406  0.272
K  0.974  0.228  0.094
K  0.026  0.772  0.906
K  0.474  0.594  0.728
K  0.364  0.136  0.250
K  0.728  0.474  0.594
K  0.136  0.250  0.364
K  0.406  0.272  0.526
K  0.750  0.636  0.864
K  0.906  0.026  0.772
K  0.228  0.094  0.974
O  0.164  0.164  0.164
O  0.664  0.664  0.664
O  0.836  0.836  0.836
O  0.336  0.336  0.336

Output
* SG: R-3c (167)
* mass density: 1.40 g cm⁻³
* ΔE_f (raw): -6.088 eV per formula unit

[9]
This record from the Alexandria database describes a relaxed Cs12K5O2 crystal. The functional is PBE.

a = 9.569 Å, b = 18.505 Å, c = 13.982 Å
α = 41.25°, β = 69.99°, γ = 75.02°
Positions (direct):
Cs  0.001  0.845  0.152
Cs  0.639  0.998  0.217
Cs  0.146  0.998  0.217
Cs  0.594  0.499  0.801
Cs  0.106  0.499  0.801
Cs  0.499  0.167  0.835
Cs  0.501  0.833  0.165
Cs  0.406  0.501  0.199
Cs  0.894  0.501  0.199
Cs  0.361  0.002  0.783
Cs  0.854  0.002  0.783
Cs  0.999  0.155  0.848
K  0.248  0.198  0.306
K  0.248  0.803  0.701
K  0.000  0.500  0.500
K  0.752  0.197  0.299
K  0.752  0.802  0.694
O  0.251  0.000  0.000
O  0.749  0.000  0.000

Output
* SG: C2/m (12)
* mass density: 1.97 g cm⁻³
* ΔE_f (raw): -5.352 eV per formula unit

[10]
This record from the Alexandria database describes a relaxed Cs15KO6 crystal. The functional is PBE.

a = 11.172 Å, b = 11.172 Å, c = 11.172 Å
α = 109.47°, β = 109.47°, γ = 109.47°
Positions (direct):
Cs  0.782  0.000  0.218
Cs  0.782  0.218  0.000
Cs  0.564  0.782  0.782
Cs  0.218  0.436  0.218
Cs  0.218  0.218  0.436
Cs  0.436  0.218  0.218
Cs  0.782  0.564  0.782
Cs  0.218  0.782  0.000
Cs  0.000  0.782  0.218
Cs  0.218  0.000  0.782
Cs  0.782  0.782  0.564
Cs  0.000  0.218  0.782
Cs  0.500  0.000  0.500
Cs  0.500  0.500  0.000
Cs  0.000  0.500  0.500
K  0.000  0.000  0.000
O  0.757  0.000  0.757
O  0.757  0.757  0.000
O  0.000  0.243  0.243
O  0.243  0.000  0.243
O  0.243  0.243  0.000
O  0.000  0.757  0.757

Output
* SG: Im-3m (229)
* mass density: 3.29 g cm⁻³
* ΔE_f (raw): -16.994 eV per formula unit

[11]
This record from the Alexandria database describes a relaxed Cs14KO crystal. The functional is PBE.

a = 10.967 Å, b = 10.967 Å, c = 14.021 Å
α = 90.00°, β = 90.00°, γ = 100.69°
Positions (direct):
Cs  0.115  0.885  0.000
Cs  0.560  0.440  0.000
Cs  0.046  0.321  0.500
Cs  0.065  0.381  0.000
Cs  0.679  0.954  0.500
Cs  0.619  0.935  0.000
Cs  0.411  0.188  0.708
Cs  0.411  0.188  0.292
Cs  0.812  0.589  0.708
Cs  0.812  0.589  0.292
Cs  0.326  0.674  0.710
Cs  0.326  0.674  0.290
Cs  0.911  0.089  0.706
Cs  0.911  0.089  0.294
K  0.074  0.926  0.500
O  0.922  0.078  0.500

Output
* SG: Amm2 (38)
* mass density: 1.92 g cm⁻³
* ΔE_f (raw): -2.836 eV per formula unit

[12]
This record from the Alexandria database describes a relaxed CsK2O6 crystal. The functional is PBE.

a = 3.738 Å, b = 7.384 Å, c = 7.385 Å
α = 120.00°, β = 90.02°, γ = 90.00°
Site moments in Bohr magnetons follow the coordinates.
Positions (direct):
Cs  0.000  0.000  0.000  0.00
K  0.500  0.333  0.667  0.00
K  0.500  0.667  0.333  0.00
O  0.999  0.000  0.592  0.42
O  0.999  0.592  0.000  0.42
O  0.999  0.408  0.408  0.42
O  0.001  0.408  0.000  0.42
O  0.001  0.000  0.408  0.42
O  0.001  0.592  0.592  0.42

Output
* SG: P6/mmm (191)
* mass density: 2.89 g cm⁻³
* distance to the lowest polymorph of the same formula: 0 meV/atom
* ΔE_f (raw): -7.415 eV per formula unit

[13]
This record from the Alexandria database describes a relaxed Cs3KO6 crystal. The functional is PBE.

a = 8.536 Å, b = 8.536 Å, c = 8.536 Å
α = 109.17°, β = 109.17°, γ = 109.17°
Site moments in Bohr magnetons follow the coordinates.
Positions (direct):
Cs  0.213  0.750  0.287  0.00
Cs  0.287  0.213  0.750  0.00
Cs  0.250  0.713  0.787  0.00
Cs  0.750  0.287  0.213  0.00
Cs  0.713  0.787  0.250  0.00
Cs  0.787  0.250  0.713  0.00
K  0.000  0.000  0.000  0.01
K  0.500  0.500  0.500  0.01
O  0.849  0.634  0.979  0.27
O  0.021  0.151  0.366  0.27
O  0.134  0.349  0.479  0.27
O  0.366  0.021  0.151  0.27
O  0.349  0.479  0.134  0.27
O  0.521  0.866  0.651  0.27
O  0.479  0.134  0.349  0.27
O  0.651  0.521  0.866  0.27
O  0.634  0.979  0.849  0.27
O  0.866  0.651  0.521  0.27
O  0.979  0.849  0.634  0.27
O  0.151  0.366  0.021  0.27

Output
* SG: R-3c (167)
* mass density: 3.66 g cm⁻³
* ΔE_f (raw): -9.208 eV per formula unit

[14]
This record from the Alexandria database describes a relaxed Cs3K12O5 crystal. The functional is PBE.

a = 16.459 Å, b = 16.459 Å, c = 16.459 Å
α = 109.47°, β = 109.47°, γ = 109.47°
Positions (direct):
Cs  0.750  0.375  0.125
Cs  0.875  0.750  0.125
Cs  0.375  0.750  0.625
Cs  0.250  0.125  0.375
Cs  0.875  0.125  0.250
Cs  0.375  0.625  0.250
Cs  0.625  0.375  0.750
Cs  0.125  0.875  0.750
Cs  0.750  0.875  0.625
Cs  0.625  0.250  0.375
Cs  0.125  0.250  0.875
Cs  0.250  0.625  0.875
O  0.125  0.375  0.250
O  0.000  0.500  0.000
O  0.000  0.000  0.000
O  0.375  0.250  0.125
O  0.500  0.000  0.500
O  0.500  0.500  0.000
O  0.125  0.750  0.375
O  0.750  0.125  0.875
O  0.750  0.625  0.375
O  0.375  0.125  0.750
O  0.625  0.875  0.250
O  0.500  0.500  0.500
O  0.500  0.000  0.000
O  0.000  0.000  0.500
O  0.250  0.375  0.625
O  0.250  0.875  0.125
O  0.000  0.500  0.500
O  0.875  0.250  0.625
O  0.625  0.750  0.875
O  0.875  0.625  0.750
K  0.664  0.084  0.971
K  0.307  0.471  0.387
K  0.029  0.416  0.336
K  0.471  0.164  0.084
K  0.580  0.664  0.693
K  0.029  0.613  0.193
K  0.307  0.836  0.420
K  0.113  0.920  0.084
K  0.613  0.029  0.693
K  0.664  0.580  0.193
K  0.836  0.529  0.416
K  0.807  0.887  0.971
K  0.084  0.664  0.471
K  0.416  0.387  0.080
K  0.080  0.887  0.416
K  0.420  0.084  0.613
K  0.080  0.193  0.164
K  0.529  0.693  0.113
K  0.807  0.920  0.336
K  0.084  0.420  0.113
K  0.416  0.029  0.836
K  0.613  0.584  0.420
K  0.887  0.807  0.471
K  0.836  0.307  0.920
K  0.387  0.416  0.580
K  0.113  0.193  0.529
K  0.164  0.693  0.080
K  0.193  0.080  0.664
K  0.584  0.971  0.164
K  0.916  0.580  0.887
K  0.471  0.307  0.887
K  0.580  0.916  0.387
K  0.920  0.807  0.836
K  0.920  0.113  0.584
K  0.916  0.336  0.529
K  0.193  0.113  0.029
K  0.584  0.613  0.920
K  0.387  0.971  0.307
K  0.336  0.420  0.807
K  0.164  0.471  0.584
K  0.887  0.080  0.916
K  0.693  0.164  0.580
K  0.529  0.836  0.916
K  0.971  0.387  0.807
K  0.420  0.336  0.307
K  0.971  0.584  0.664
K  0.693  0.529  0.613
K  0.336  0.916  0.029

Output
* SG: Ia-3d (230)
* mass density: 1.83 g cm⁻³
* ΔE_f (raw): -11.139 eV per formula unit

[15]
This record from the Alexandria database describes a relaxed CsK6O2 crystal. The functional is PBE.

a = 11.442 Å, b = 7.170 Å, c = 7.170 Å
α = 120.00°, β = 90.00°, γ = 90.00°
Positions (direct):
Cs  0.000  0.000  0.000
K  0.626  0.612  0.612
K  0.374  0.612  0.000
K  0.374  0.000  0.612
K  0.626  0.388  0.000
K  0.374  0.388  0.388
K  0.626  0.000  0.388
O  0.500  0.667  0.333
O  0.500  0.333  0.667

Output
* SG: P-31m (162)
* mass density: 1.30 g cm⁻³
* ΔE_f (raw): -6.153 eV per formula unit

[16]
This record from the Alexandria database describes a relaxed CsK3O crystal. The functional is PBE.

a = 6.002 Å, b = 6.002 Å, c = 6.002 Å
α = 90.00°, β = 90.00°, γ = 90.00°
Positions (direct):
Cs  0.500  0.500  0.500
K  0.000  0.500  0.000
K  0.000  0.000  0.500
K  0.500  0.000  0.000
O  0.000  0.000  0.000

Output
* SG: Pm-3m (221)
* mass density: 2.04 g cm⁻³
* distance to the lowest polymorph of the same formula: 246 meV/atom
* ΔE_f (raw): -1.793 eV per formula unit